First-principles (PBE) data for a geometry-optimized Sc2BeCu6Pd structure, as listed in the Alexandria database.

space-group type = P-1 (2)
DFT formation energy = -130 meV/atom

Cell lengths 4.8223, 5.8490, 6.2635 Å; angles 67.84, 68.08, 66.15 degrees
Closest atoms and distances in Å follow each position.
Fractional positions:
Sc  0.0177  0.2302  0.2431  5 Cu 2.66-2.88, 2 Pd 2.90-2.95, 2 Be 2.95-2.98
Sc  0.9823  0.7698  0.7569  5 Cu 2.66-2.88, 2 Pd 2.90-2.95, 2 Be 2.95-2.98
Be  0.5000  0.5000  0.0000  4 Cu 2.23-2.46
Cu  0.0171  0.6724  0.3029  5 Cu 2.39-2.54, 1 Be 2.51, 1 Pd 2.65
Cu  0.3112  0.9297  0.9438  1 Be 2.23, 2 Cu 2.48
Cu  0.4834  0.3328  0.7007  5 Cu 2.39-2.55, 1 Be 2.46, 1 Pd 2.65
Cu  0.5166  0.6672  0.2993  5 Cu 2.39-2.55, 1 Be 2.46, 1 Pd 2.65
Cu  0.6888  0.0703  0.0562  1 Be 2.23, 2 Cu 2.48
Cu  0.9829  0.3276  0.6971  5 Cu 2.39-2.54, 1 Be 2.51, 1 Pd 2.65
Pd  0.5000  0.0000  0.5000  6 Cu 2.50-2.65

=====

First-principles (PBE) data for a geometry-optimized BeCuSiPd structure, as listed in the Alexandria database.

space-group type = F-43m (216)
formation energy without anion corrections = -240.9 meV/atom

Cell lengths 4.0847, 4.0847, 4.0847 Å; angles 60.00, 60.00, 60.00 degrees
Closest atoms and distances in Å follow each position.
Fractional positions:
Be  0.0000  0.0000  0.0000  4 Pd 2.50, 4 Cu 2.50
Cu  0.2500  0.2500  0.2500  4 Be 2.50, 4 Si 2.50
Si  0.5000  0.5000  0.5000  4 Cu 2.50, 4 Pd 2.50
Pd  0.7500  0.7500  0.7500  4 Be 2.50, 4 Si 2.50

=====

First-principles (PBE) data for a geometry-optimized SmBe2CuPd5 structure, as listed in the Alexandria database.

space-group type = P4/mmm (123)
DFT formation energy = -456 meV/atom

Cell lengths 4.4021, 4.4021, 7.0436 Å; angles 90.00, 90.00, 90.00 degrees
Closest atoms and distances in Å follow each position.
Fractional positions:
Sm  0.0000  0.0000  0.0000  12 Pd 3.00-3.11
Be  0.5000  0.5000  0.3397  5 Pd 2.23-2.39, 1 Be 2.26
Be  0.5000  0.5000  0.6603  5 Pd 2.23-2.39, 1 Be 2.26
Cu  0.0000  0.0000  0.5000  8 Pd 2.66
Pd  0.0000  0.5000  0.2889  2 Be 2.23
Pd  0.0000  0.5000  0.7111  2 Be 2.23
Pd  0.5000  0.0000  0.2889  2 Be 2.23
Pd  0.5000  0.0000  0.7111  2 Be 2.23
Pd  0.5000  0.5000  0.0000  2 Be 2.39

=====

First-principles (PBE) data for a geometry-optimized Sm2Be3Cu12Pd structure, as listed in the Alexandria database.

space-group type = R-3m (166)
DFT formation energy = 326 meV/atom

Cell lengths 7.2835, 7.2835, 7.2835 Å; angles 62.94, 62.94, 62.94 degrees
Closest atoms and distances in Å follow each position.
Fractional positions:
Sm  0.1025  0.1025  0.1025  6 Cu 2.83-2.86
Sm  0.8975  0.8975  0.8975  6 Cu 2.83-2.86
Be  0.0000  0.5000  0.5000  6 Cu 2.10
Be  0.5000  0.0000  0.5000  6 Cu 2.10
Be  0.5000  0.5000  0.0000  6 Cu 2.10
Cu  0.1010  0.6296  0.6296  1 Be 2.10
Cu  0.1673  0.1673  0.6037  2 Be 2.10
Cu  0.1673  0.6037  0.1673  2 Be 2.10
Cu  0.3704  0.3704  0.8990  1 Be 2.10
Cu  0.3704  0.8990  0.3704  1 Be 2.10
Cu  0.3963  0.8327  0.8327  2 Be 2.10
Cu  0.6037  0.1673  0.1673  2 Be 2.10
Cu  0.6296  0.1010  0.6296  1 Be 2.10
Cu  0.6296  0.6296  0.1010  1 Be 2.10
Cu  0.8327  0.3963  0.8327  2 Be 2.10
Cu  0.8327  0.8327  0.3963  2 Be 2.10
Cu  0.8990  0.3704  0.3704  1 Be 2.10
Pd  0.5000  0.5000  0.5000  6 Cu 2.46

=====

First-principles (PBE) data for a geometry-optimized BeCu2SnPd structure, as listed in the Alexandria database.

space-group type = P4/mmm (123)
DFT formation energy = 948 meV/atom

Cell lengths 4.7951, 4.7951, 4.4232 Å; angles 90.00, 90.00, 90.00 degrees
Closest atoms and distances in Å follow each position.
Fractional positions:
Be  0.0000  0.0000  0.0000  2 Sn 2.21
Cu  0.0000  0.5000  0.5000  2 Sn 2.40
Cu  0.5000  0.0000  0.5000  2 Sn 2.40
Sn  0.0000  0.0000  0.5000  2 Be 2.21, 4 Cu 2.40
Pd  0.5000  0.5000  0.0000  8 Cu 3.26, 4 Be 3.39

=====

First-principles (PBE) data for a geometry-optimized BeCuSnPd2 structure, as listed in the Alexandria database.

space-group type = P4/mmm (123)
DFT formation energy = 334 meV/atom

Cell lengths 4.7012, 4.7012, 3.9506 Å; angles 90.00, 90.00, 90.00 degrees
Closest atoms and distances in Å follow each position.
Fractional positions:
Be  0.0000  0.0000  0.0000  2 Cu 1.98
Cu  0.0000  0.0000  0.5000  2 Be 1.98
Sn  0.5000  0.5000  0.0000  8 Pd 3.07, 4 Be 3.32
Pd  0.0000  0.5000  0.5000  2 Cu 2.35
Pd  0.5000  0.0000  0.5000  2 Cu 2.35

=====

First-principles (PBE) data for a geometry-optimized SrBeCuPd2 structure, as listed in the Alexandria database.

space-group type = P4/mmm (123)
DFT formation energy = -297 meV/atom

Cell lengths 4.4648, 4.4648, 4.4422 Å; angles 90.00, 90.00, 90.00 degrees
Closest atoms and distances in Å follow each position.
Fractional positions:
Sr  0.0000  0.0000  0.0000  8 Pd 3.15, 4 Cu 3.16
Be  0.5000  0.5000  0.5000  2 Cu 2.22, 4 Pd 2.23
Cu  0.5000  0.5000  0.0000  2 Be 2.22
Pd  0.0000  0.5000  0.5000  2 Be 2.23
Pd  0.5000  0.0000  0.5000  2 Be 2.23

=====

First-principles (PBE) data for a geometry-optimized Sr2BeCuPd6 structure, as listed in the Alexandria database.

space-group type = C2/m (12)
DFT formation energy = -419 meV/atom

Cell lengths 6.1346, 6.1346, 6.9202 Å; angles 116.10, 116.10, 60.20 degrees
Closest atoms and distances in Å follow each position.
Fractional positions:
Sr  0.2233  0.2233  0.1701  12 Pd 3.20-3.51
Sr  0.7767  0.7767  0.8299  12 Pd 3.20-3.51
Be  0.0000  0.0000  0.5000  6 Pd 2.19
Cu  0.5000  0.5000  0.0000  6 Pd 2.52
Pd  0.2390  0.2390  0.6780  1 Be 2.19
Pd  0.2387  0.6983  0.6768  1 Be 2.19
Pd  0.3017  0.7613  0.3232  1 Be 2.19
Pd  0.6983  0.2387  0.6768  1 Be 2.19
Pd  0.7613  0.3017  0.3232  1 Be 2.19
Pd  0.7610  0.7610  0.3220  1 Be 2.19

=====

First-principles (PBE) data for a geometry-optimized Tm2Be3Cu12Pd structure, as listed in the Alexandria database.

space-group type = R-3m (166)
DFT formation energy = 335 meV/atom

Cell lengths 7.1533, 7.1533, 7.1533 Å; angles 64.00, 64.00, 64.00 degrees
Closest atoms and distances in Å follow each position.
Fractional positions:
Tm  0.0978  0.0978  0.0978  6 Cu 2.76-2.77
Tm  0.9022  0.9022  0.9022  6 Cu 2.76-2.77
Be  0.0000  0.5000  0.5000  6 Cu 2.10-2.11
Be  0.5000  0.0000  0.5000  6 Cu 2.10-2.11
Be  0.5000  0.5000  0.0000  6 Cu 2.10-2.11
Cu  0.0952  0.6379  0.6379  1 Be 2.11
Cu  0.1658  0.1658  0.6090  2 Be 2.10
Cu  0.1658  0.6090  0.1658  2 Be 2.10
Cu  0.3621  0.3621  0.9048  1 Be 2.11
Cu  0.3621  0.9048  0.3621  1 Be 2.11
Cu  0.3910  0.8342  0.8342  2 Be 2.10
Cu  0.6090  0.1658  0.1658  2 Be 2.10
Cu  0.6379  0.0952  0.6379  1 Be 2.11
Cu  0.6379  0.6379  0.0952  1 Be 2.11
Cu  0.8342  0.3910  0.8342  2 Be 2.10
Cu  0.8342  0.8342  0.3910  2 Be 2.10
Cu  0.9048  0.3621  0.3621  1 Be 2.11
Pd  0.5000  0.5000  0.5000  6 Cu 2.49

=====

First-principles (PBE) data for a geometry-optimized Y2BeCuPd6 structure, as listed in the Alexandria database.

space-group type = P-1 (2)
DFT formation energy = -564 meV/atom

Cell lengths 5.4402, 5.9674, 6.3533 Å; angles 83.31, 68.64, 67.07 degrees
Closest atoms and distances in Å follow each position.
Fractional positions:
Y  0.0074  0.2387  0.2761  8 Pd 2.85-3.12
Y  0.9926  0.7613  0.7239  8 Pd 2.85-3.12
Be  0.5000  0.5000  0.0000  6 Pd 2.22-2.45
Cu  0.5000  0.0000  0.5000  6 Pd 2.48-2.62
Pd  0.0082  0.7203  0.2431  1 Be 2.45, 1 Cu 2.62
Pd  0.3788  0.8874  0.9024  1 Be 2.22, 1 Cu 2.48
Pd  0.4910  0.3435  0.7025  1 Be 2.23
Pd  0.5090  0.6565  0.2975  1 Be 2.23
Pd  0.6212  0.1126  0.0976  1 Be 2.22, 1 Cu 2.48
Pd  0.9918  0.2797  0.7569  1 Be 2.45, 1 Cu 2.62

=====

First-principles (PBE) data for a geometry-optimized PmBeCu4 structure, as listed in the Alexandria database.

space-group type = F-43m (216)
DFT formation energy = -21 meV/atom

Cell lengths 5.0195, 5.0195, 5.0195 Å; angles 60.00, 60.00, 60.00 degrees
Closest atoms and distances in Å follow each position.
Fractional positions:
Pm  0.0000  0.0000  0.0000  12 Cu 2.95, 4 Be 3.07
Be  0.7500  0.7500  0.7500  12 Cu 2.94, 4 Pm 3.07
Cu  0.3769  0.3769  0.3769  6 Cu 2.47-2.55
Cu  0.3769  0.3769  0.8693  6 Cu 2.47-2.55
Cu  0.3769  0.8693  0.3769  6 Cu 2.47-2.55
Cu  0.8693  0.3769  0.3769  6 Cu 2.47-2.55

=====

What VASP energy values result from the calculations? In sequence: -47.459, -19.402, -46.333, -69.090, -16.372, -20.540, -21.376, -46.531, -68.430, -57.552, -24.988 eV per cell.